Material: TlCdSn2
Method: DFT, GGA-PBE
State: optimized geometry

CIF file:
```
data_TlCdSn2
_space_group_name_H-M_alt 'F -4 3 m'
_space_group_IT_number 216
_space_group_name_Hall 'F -4 2 3'
_cell_length_a 7.628
_cell_length_b 7.628
_cell_length_c 7.628
_cell_angle_alpha 90.00
_cell_angle_beta 90.00
_cell_angle_gamma 90.00
loop_
_atom_site_label
_atom_site_type_symbol
_atom_site_fract_x
_atom_site_fract_y
_atom_site_fract_z
Tl1 Tl 0.000 0.000 0.000
Cd1 Cd 0.250 0.250 0.250
Sn1 Sn 0.000 0.000 0.500
Sn2 Sn 0.250 0.250 0.750
```

energy = -2.752 eV/atom
crystal system = cubic

=====

Material: Tl2Cd2Sn3
Method: DFT, GGA-PBE
State: optimized geometry

CIF file:
```
data_Tl2Cd2Sn3
_space_group_name_H-M_alt 'R 3 m'
_space_group_IT_number 160
_space_group_name_Hall 'R 3 -2"'
_cell_length_a 5.3088
_cell_length_b 5.3088
_cell_length_c 25.2233
_cell_angle_alpha 90.00
_cell_angle_beta 90.00
_cell_angle_gamma 120.00
loop_
_atom_site_label
_atom_site_type_symbol
_atom_site_fract_x
_atom_site_fract_y
_atom_site_fract_z
Tl1 Tl 0.0000 0.0000 0.0000
Tl2 Tl 0.0000 0.0000 0.4773
Cd1 Cd 0.0000 0.0000 0.2281
Cd2 Cd 0.0000 0.0000 0.7410
Sn1 Sn 0.0000 0.0000 0.3532
Sn2 Sn 0.0000 0.0000 0.6086
Sn3 Sn 0.0000 0.0000 0.8649
```

energy = -2.548 eV/atom
crystal system = trigonal

=====

Material: TlCdSn
Method: DFT, GGA-PBE
State: optimized geometry

CIF file:
```
data_TlCdSn
_space_group_name_H-M_alt 'F -4 3 m'
_space_group_IT_number 216
_space_group_name_Hall 'F -4 2 3'
_cell_length_a 7.186
_cell_length_b 7.186
_cell_length_c 7.186
_cell_angle_alpha 90.00
_cell_angle_beta 90.00
_cell_angle_gamma 90.00
loop_
_atom_site_label
_atom_site_type_symbol
_atom_site_fract_x
_atom_site_fract_y
_atom_site_fract_z
Tl1 Tl 0.000 0.000 0.000
Cd1 Cd 0.000 0.000 0.500
Sn1 Sn 0.250 0.250 0.750
```

crystal system = cubic
offset from the most stable computed form = 0 meV/atom

=====

Please write out number 3 again, unchanged.
Material: TlCdSn
Method: DFT, GGA-PBE
State: optimized geometry

CIF file:
```
data_TlCdSn
_space_group_name_H-M_alt 'F -4 3 m'
_space_group_IT_number 216
_space_group_name_Hall 'F -4 2 3'
_cell_length_a 7.186
_cell_length_b 7.186
_cell_length_c 7.186
_cell_angle_alpha 90.00
_cell_angle_beta 90.00
_cell_angle_gamma 90.00
loop_
_atom_site_label
_atom_site_type_symbol
_atom_site_fract_x
_atom_site_fract_y
_atom_site_fract_z
Tl1 Tl 0.000 0.000 0.000
Cd1 Cd 0.000 0.000 0.500
Sn1 Sn 0.250 0.250 0.750
```

crystal system = cubic
offset from the most stable computed form = 0 meV/atom

=====

> Which formula does entry 2 have?

Tl2Cd2Sn3